a | {"formula": "TaNbC3", "functional": "GGA-PBE", "state": "optimized geometry", "lattice": [[4.0404, 0.0000, 0.0000], [0.0000, 4.0404, 0.0000], [0.0000, 0.0000, 4.0404]], "species": ["Ta", "Nb", "C", "C", "C"], "frac_coords": [[0.0000, 0.0000, 0.0000], [0.5000, 0.5000, 0.5000], [0.0000, 0.5000, 0.5000], [0.5000, 0.0000, 0.5000], [0.5000, 0.5000, 0.0000]], "space_group": "Pm-3m, No. 221", "volume_a3_per_fu": 66.0, "magnetic_moment_mub_per_cell": 0.00}


b | {"formula": "TaNbC3", "functional": "GGA-PBE", "state": "optimized geometry", "lattice": [[4.0609, 0.0000, 0.0000], [0.0000, 4.0609, 0.0000], [0.0000, 0.0000, 4.0609]], "species": ["Ta", "Nb", "C", "C", "C"], "frac_coords": [[0.0000, 0.0000, 0.0000], [0.5000, 0.5000, 0.5000], [0.0000, 0.0000, 0.5000], [0.0000, 0.5000, 0.0000], [0.5000, 0.0000, 0.0000]], "space_group": "Pm-3m, No. 221", "volume_a3_per_fu": 67.0, "magnetic_moment_mub_per_cell": 0.00}


Stability summary - winner: b; margin: 22.7 kJ/mol of atoms.


a | {"formula": "TaNb3C", "functional": "GGA-PBE", "state": "optimized geometry", "lattice": [[4.8735, 0.0000, 0.0000], [0.0000, 4.8735, 0.0000], [0.0000, 0.0000, 4.8735]], "species": ["Ta", "Nb", "Nb", "Nb", "C"], "frac_coords": [[0.0000, 0.0000, 0.0000], [0.0000, 0.0000, 0.5000], [0.0000, 0.5000, 0.0000], [0.5000, 0.0000, 0.0000], [0.5000, 0.5000, 0.5000]], "space_group": "Pm-3m, No. 221", "volume_a3_per_fu": 115.8, "magnetic_moment_mub_per_cell": 0.00}


b | {"formula": "TaNb3C", "functional": "GGA-PBE", "state": "optimized geometry", "lattice": [[4.3485, 0.0000, 0.0000], [0.0000, 4.3485, 0.0000], [0.0000, 0.0000, 4.3485]], "species": ["Ta", "Nb", "Nb", "Nb", "C"], "frac_coords": [[0.0000, 0.0000, 0.0000], [0.0000, 0.5000, 0.5000], [0.5000, 0.0000, 0.5000], [0.5000, 0.5000, 0.0000], [0.5000, 0.5000, 0.5000]], "space_group": "Pm-3m, No. 221", "volume_a3_per_fu": 82.2, "magnetic_moment_mub_per_cell": 0.00}


Stability summary - winner: b; margin: 271.4 kJ/mol of atoms.


a | {"formula": "Ta3NbC", "functional": "GGA-PBE", "state": "optimized geometry", "lattice": [[4.8502, 0.0000, 0.0000], [0.0000, 4.8502, 0.0000], [0.0000, 0.0000, 4.8502]], "species": ["Ta", "Ta", "Ta", "Nb", "C"], "frac_coords": [[0.0000, 0.0000, 0.5000], [0.0000, 0.5000, 0.0000], [0.5000, 0.0000, 0.0000], [0.0000, 0.0000, 0.0000], [0.5000, 0.5000, 0.5000]], "space_group": "Pm-3m, No. 221", "volume_a3_per_fu": 114.1, "magnetic_moment_mub_per_cell": 0.00}


b | {"formula": "Ta3NbC", "functional": "GGA-PBE", "state": "optimized geometry", "lattice": [[9.7973, -1.6077, 0.0000], [9.7973, 1.6077, 0.0000], [-1.0979, 0.0000, 5.0281]], "species": ["Ta", "Ta", "Ta", "Ta", "Ta", "Ta", "Nb", "Nb", "C", "C"], "frac_coords": [[0.0573, 0.0573, 0.2918], [0.1839, 0.1839, 0.8620], [0.3162, 0.3162, 0.6373], [0.6838, 0.6838, 0.3627], [0.8161, 0.8161, 0.1380], [0.9427, 0.9427, 0.7082], [0.4413, 0.4413, 0.2078], [0.5587, 0.5587, 0.7922], [0.2501, 0.2501, 0.2499], [0.7499, 0.7499, 0.7501]], "space_group": "C2/m, No. 12", "volume_a3_per_fu": 79.2, "magnetic_moment_mub_per_cell": 0.00}


Stability summary - winner: b; margin: 309.4 kJ/mol of atoms.


a | {"formula": "Ta2NbC2", "functional": "GGA-PBE", "state": "optimized geometry", "lattice": [[6.7484, 0.0000, 0.0000], [0.0000, 6.7484, 0.0000], [0.0000, 0.0000, 2.8519]], "species": ["Ta", "Ta", "Ta", "Ta", "Nb", "Nb", "C", "C", "C", "C"], "frac_coords": [[0.1407, 0.3593, 0.0000], [0.3593, 0.8593, 0.0000], [0.6407, 0.1407, 0.0000], [0.8593, 0.6407, 0.0000], [0.0000, 0.0000, 0.0000], [0.5000, 0.5000, 0.0000], [0.1552, 0.6552, 0.5000], [0.3448, 0.1552, 0.5000], [0.6552, 0.8448, 0.5000], [0.8448, 0.3448, 0.5000]], "space_group": "P4/mbm, No. 127", "volume_a3_per_fu": 64.9, "magnetic_moment_mub_per_cell": 0.00}


b | {"formula": "Ta2NbC2", "functional": "GGA-PBE", "state": "optimized geometry", "lattice": [[2.7355, -4.6892, 0.0000], [2.7355, 4.6892, 0.0000], [-1.9307, 0.0000, 5.1266]], "species": ["Ta", "Ta", "Ta", "Ta", "Nb", "Nb", "C", "C", "C", "C"], "frac_coords": [[0.0742, 0.9258, 0.7500], [0.2513, 0.7487, 0.2500], [0.7487, 0.2513, 0.7500], [0.9258, 0.0742, 0.2500], [0.4239, 0.5761, 0.7500], [0.5761, 0.4239, 0.2500], [0.1631, 0.3301, 0.9999], [0.3301, 0.1631, 0.4999], [0.6699, 0.8369, 0.5001], [0.8369, 0.6699, 0.0001]], "space_group": "C2/c, No. 15", "volume_a3_per_fu": 65.8, "magnetic_moment_mub_per_cell": 0.00}


c | {"formula": "Ta2NbC2", "functional": "GGA-PBE", "state": "optimized geometry", "lattice": [[-2.0420, 2.0420, 4.1655], [2.0420, -2.0420, 4.1655], [2.0420, 2.0420, -4.1655]], "species": ["Ta", "Ta", "Nb", "C", "C"], "frac_coords": [[0.1692, 0.1692, 0.0000], [0.8308, 0.8308, 0.0000], [0.5000, 0.5000, 0.0000], [0.2500, 0.7500, 0.5000], [0.7500, 0.2500, 0.5000]], "space_group": "I4/mmm, No. 139", "volume_a3_per_fu": 69.5, "magnetic_moment_mub_per_cell": 0.00}


Stability summary - winner: b; margin: 79.2 kJ/mol of atoms.